1.
Below is crystalline Pr5CuTe4 at its relaxed geometry, with properties calculated at the PBE-GGA level.

```
Pr5CuTe4
1.0
5.7434 0.0000 2.7702
2.8717 7.0598 1.3851
-0.1953 0.0000 7.7439
Pr Cu Te
5 1 4
Direct
0.9029 0.3804 0.8159
0.5011 0.0000 0.0000
0.7188 0.1841 0.3804
0.0992 0.6196 0.1841
0.2833 0.8159 0.6196
0.0009 0.0000 0.0000
0.1961 0.2134 0.3964
0.5925 0.6036 0.2134
0.4095 0.3964 0.7866
0.8059 0.7866 0.6036
```

Output
VASP energy ... -52.35 eV/cell
Space-group type ... I4/m (87)

---

2.
Below is crystalline CaMgF4 at its relaxed geometry, with properties calculated at the PBE-GGA level.

```
CaMgF4
1.0
-3.1622 3.2916 -2.9443
-0.8995 -3.8647 -3.3545
-4.3150 -1.5319 2.9219
F Mg Ca
8 2 2
Direct
0.3093 0.2459 0.4407
0.6911 0.2443 0.0589
0.1911 0.7557 0.5589
0.1907 0.2459 0.9407
0.8093 0.7541 0.9407
0.3089 0.7557 0.0589
0.6907 0.7541 0.4407
0.8089 0.2443 0.5589
0.5000 0.0000 0.2507
0.0000 0.0000 0.7507
0.0000 0.5000 0.2501
0.5000 0.5000 0.7501
```

Output
VASP energy ... -66.56 eV/cell
Space-group type ... P4/nbm (125)

---

| no. | D(E_F) (states/eV per atom) |
| --- | --- |
| 1 | 0.6081 |
| 2 | 0.0000 |